1.
Ba3Ac2TlSe6 | PBE | relaxed

The structure in CIF format:
```
data_Ba3Ac2TlSe6
_symmetry_space_group_name_H-M 'P 1'
_symmetry_Int_Tables_number 1
_cell_length_a 10.286
_cell_length_b 10.286
_cell_length_c 9.292
_cell_angle_alpha 102.11
_cell_angle_beta 102.11
_cell_angle_gamma 25.92
loop_
_symmetry_equiv_pos_as_xyz
'x,y,z'
loop_
_atom_site_label
_atom_site_type_symbol
_atom_site_fract_x
_atom_site_fract_y
_atom_site_fract_z
Ba1 Ba 0.000 0.000 0.000
Ba2 Ba 0.340 0.340 0.661
Ba3 Ba 0.660 0.660 0.339
Ac1 Ac 0.334 0.334 0.168
Ac2 Ac 0.666 0.666 0.832
Tl1 Tl 0.000 0.000 0.500
Se1 Se 0.171 0.171 0.076
Se2 Se 0.172 0.172 0.603
Se3 Se 0.491 0.491 0.240
Se4 Se 0.509 0.509 0.760
Se5 Se 0.828 0.828 0.397
Se6 Se 0.829 0.829 0.924
```

Values from the calculation:
**Total magnetization**: 0.00 μB/f.u.
**Energy relative to the elements, uncorrected**: -1.796 eV per atom

2.
BaAc2Tl3Se6 | PBE | relaxed

The structure in CIF format:
```
data_BaAc2Tl3Se6
_symmetry_space_group_name_H-M 'P 1'
_symmetry_Int_Tables_number 1
_cell_length_a 10.323
_cell_length_b 10.323
_cell_length_c 9.209
_cell_angle_alpha 101.84
_cell_angle_beta 101.84
_cell_angle_gamma 25.68
loop_
_symmetry_equiv_pos_as_xyz
'x,y,z'
loop_
_atom_site_label
_atom_site_type_symbol
_atom_site_fract_x
_atom_site_fract_y
_atom_site_fract_z
Ba1 Ba 0.000 0.000 0.000
Ac1 Ac 0.332 0.332 0.665
Ac2 Ac 0.668 0.668 0.335
Tl1 Tl 0.000 0.000 0.500
Tl2 Tl 0.332 0.332 0.164
Tl3 Tl 0.668 0.668 0.836
Se1 Se 0.166 0.166 0.108
Se2 Se 0.172 0.172 0.570
Se3 Se 0.490 0.490 0.738
Se4 Se 0.510 0.510 0.262
Se5 Se 0.828 0.828 0.430
Se6 Se 0.834 0.834 0.892
```

Values from the calculation:
**Total magnetization**: 0.00 μB/f.u.
**Energy relative to the elements, uncorrected**: -1.301 eV per atom

3.
Ba2AcTlSe5 | PBE | relaxed

The structure in CIF format:
```
data_Ba2AcTlSe5
_symmetry_space_group_name_H-M 'P 1'
_symmetry_Int_Tables_number 1
_cell_length_a 10.144
_cell_length_b 10.144
_cell_length_c 13.494
_cell_angle_alpha 90.00
_cell_angle_beta 90.00
_cell_angle_gamma 154.48
loop_
_symmetry_equiv_pos_as_xyz
'x,y,z'
loop_
_atom_site_label
_atom_site_type_symbol
_atom_site_fract_x
_atom_site_fract_y
_atom_site_fract_z
Ba1 Ba 0.115 0.885 0.500
Ba2 Ba 0.128 0.872 0.135
Ba3 Ba 0.872 0.128 0.635
Ba4 Ba 0.885 0.115 0.000
Ac1 Ac 0.210 0.790 0.835
Ac2 Ac 0.790 0.210 0.335
Tl1 Tl 0.454 0.546 0.260
Tl2 Tl 0.546 0.454 0.760
Se1 Se 0.046 0.954 0.878
Se2 Se 0.290 0.710 0.490
Se3 Se 0.320 0.680 0.177
Se4 Se 0.361 0.639 0.820
Se5 Se 0.493 0.507 0.581
Se6 Se 0.507 0.493 0.081
Se7 Se 0.639 0.361 0.320
Se8 Se 0.680 0.320 0.677
Se9 Se 0.710 0.290 0.990
Se10 Se 0.954 0.046 0.378
```

Values from the calculation:
**Total magnetization**: 0.00 μB/f.u.
**Energy relative to the elements, uncorrected**: -1.540 eV per atom

4.
BaAcUSe4 | PBE | relaxed

The structure in CIF format:
```
data_BaAcUSe4
_symmetry_space_group_name_H-M 'P 1'
_symmetry_Int_Tables_number 1
_cell_length_a 9.151
_cell_length_b 9.151
_cell_length_c 9.151
_cell_angle_alpha 122.53
_cell_angle_beta 119.67
_cell_angle_gamma 88.12
loop_
_symmetry_equiv_pos_as_xyz
'x,y,z'
loop_
_atom_site_label
_atom_site_type_symbol
_atom_site_fract_x
_atom_site_fract_y
_atom_site_fract_z
Ba1 Ba 0.380 0.130 0.250
Ba2 Ba 0.620 0.870 0.750
Ac1 Ac 0.000 0.500 0.500
Ac2 Ac 0.500 0.500 0.000
U1 U 0.000 0.000 0.500
U2 U 0.000 0.500 0.000
Se1 Se 0.201 0.737 0.464
Se2 Se 0.224 0.239 0.515
Se3 Se 0.224 0.708 0.985
Se4 Se 0.227 0.263 0.964
Se5 Se 0.773 0.737 0.036
Se6 Se 0.776 0.292 0.015
Se7 Se 0.776 0.761 0.485
Se8 Se 0.799 0.263 0.536
```

Values from the calculation:
**Total magnetization**: 3.00 μB/f.u.
**Energy relative to the elements, uncorrected**: -1.601 eV per atom

5.
BaAc2USe6 | PBE | relaxed

The structure in CIF format:
```
data_BaAc2USe6
_symmetry_space_group_name_H-M 'P 1'
_symmetry_Int_Tables_number 1
_cell_length_a 8.183
_cell_length_b 8.183
_cell_length_c 8.183
_cell_angle_alpha 57.01
_cell_angle_beta 57.01
_cell_angle_gamma 57.01
loop_
_symmetry_equiv_pos_as_xyz
'x,y,z'
loop_
_atom_site_label
_atom_site_type_symbol
_atom_site_fract_x
_atom_site_fract_y
_atom_site_fract_z
Ba1 Ba 0.000 0.000 0.000
Ac1 Ac 0.210 0.210 0.210
Ac2 Ac 0.722 0.722 0.722
U1 U 0.519 0.519 0.519
Se1 Se 0.150 0.412 0.783
Se2 Se 0.349 0.899 0.585
Se3 Se 0.412 0.783 0.150
Se4 Se 0.585 0.349 0.899
Se5 Se 0.783 0.150 0.412
Se6 Se 0.899 0.585 0.349
```

Values from the calculation:
**Total magnetization**: 2.00 μB/f.u.
**Energy relative to the elements, uncorrected**: -1.708 eV per atom

6.
Ba3AcY2Se6 | PBE | relaxed

The structure in CIF format:
```
data_Ba3AcY2Se6
_symmetry_space_group_name_H-M 'P 1'
_symmetry_Int_Tables_number 1
_cell_length_a 7.606
_cell_length_b 7.606
_cell_length_c 7.848
_cell_angle_alpha 99.35
_cell_angle_beta 99.35
_cell_angle_gamma 119.96
loop_
_symmetry_equiv_pos_as_xyz
'x,y,z'
loop_
_atom_site_label
_atom_site_type_symbol
_atom_site_fract_x
_atom_site_fract_y
_atom_site_fract_z
Ba1 Ba 0.000 0.000 0.000
Ba2 Ba 0.338 0.662 0.000
Ba3 Ba 0.662 0.338 0.000
Ac1 Ac 0.500 0.500 0.500
Y1 Y 0.168 0.832 0.500
Y2 Y 0.832 0.168 0.500
Se1 Se 0.077 0.427 0.280
Se2 Se 0.222 0.222 0.715
Se3 Se 0.427 0.077 0.280
Se4 Se 0.573 0.923 0.720
Se5 Se 0.778 0.778 0.285
Se6 Se 0.923 0.573 0.720
```

Values from the calculation:
**Total magnetization**: 0.00 μB/f.u.
**Energy relative to the elements, uncorrected**: -1.899 eV per atom